An optimized crystal structure of RbSr4Li2. Source: Alexandria, functional PBE.

Electronic total energy, eV/atom: -1.12
Energy of formation from the pure elements, eV per atom: 0.525
Symmetry: I4/mmm, No. 139

Unit cell a=6.797 b=6.797 c=9.727 alpha=69.55 beta=69.55 gamma=90.00
Fractional positions:
Sr (0.500, 0.000, 0.000)
Sr (0.000, 0.500, 0.000)
Sr (0.770, 0.770, 0.461)
Sr (0.230, 0.230, 0.539)
Rb (0.000, 0.000, 0.000)
Li (0.422, 0.422, 0.155)
Li (0.578, 0.578, 0.845)



An optimized crystal structure of Rb3SrLi. Source: Alexandria, functional PBE.

Polymorph energy (0 for the lowest one), eV per atom: 0.286
Electronic total energy, eV/atom: -0.74
Energy of formation from the pure elements, eV per atom: 0.557
Symmetry: Pm-3m, No. 221

Unit cell a=8.155 b=8.155 c=8.155 alpha=90.00 beta=90.00 gamma=90.00
Fractional positions:
Rb (0.500, 0.000, 0.000)
Rb (0.000, 0.500, 0.000)
Rb (0.000, 0.000, 0.500)
Sr (0.000, 0.000, 0.000)
Li (0.500, 0.500, 0.500)



An optimized crystal structure of RbSr2Li. Source: Alexandria, functional PBE.

Electronic total energy, eV/atom: -1.47
Energy of formation from the pure elements, eV per atom: 0.095
Symmetry: P4/mmm, No. 123

Unit cell a=4.297 b=4.297 c=11.426 alpha=90.00 beta=90.00 gamma=90.00
Fractional positions:
Li (0.500, 0.500, 0.000)
Rb (0.500, 0.500, 0.500)
Sr (0.000, 0.000, 0.821)
Sr (0.000, 0.000, 0.179)



An optimized crystal structure of RbSr2Li. Source: Alexandria, functional PBE.

Electronic total energy, eV/atom: -1.36
Energy of formation from the pure elements, eV per atom: 0.204
Symmetry: P4/mmm, No. 123

Unit cell a=6.331 b=5.803 c=5.803 alpha=90.00 beta=90.00 gamma=90.00
Fractional positions:
Rb (0.500, 0.000, 0.000)
Li (0.500, 0.500, 0.500)
Sr (0.000, 0.500, 0.000)
Sr (0.000, 0.000, 0.500)



An optimized crystal structure of RbSrLi2. Source: Alexandria, functional PBE.

Polymorph energy (0 for the lowest one), eV per atom: 0.000
Electronic total energy, eV/atom: -1.49
Energy of formation from the pure elements, eV per atom: 0.128
Symmetry: P4/mmm, No. 123

Unit cell a=4.493 b=4.493 c=9.009 alpha=90.00 beta=90.00 gamma=90.00
Fractional positions:
Sr (0.500, 0.500, 0.000)
Li (0.000, 0.000, 0.194)
Li (0.000, 0.000, 0.806)
Rb (0.500, 0.500, 0.500)



An optimized crystal structure of RbSr3Li. Source: Alexandria, functional PBE.

Polymorph energy (0 for the lowest one), eV per atom: 0.000
Electronic total energy, eV/atom: -1.42
Energy of formation from the pure elements, eV per atom: 0.163
Symmetry: Pm-3m, No. 221

Unit cell a=6.599 b=6.599 c=6.599 alpha=90.00 beta=90.00 gamma=90.00
Fractional positions:
Sr (0.000, 0.500, 0.000)
Sr (0.000, 0.000, 0.500)
Sr (0.500, 0.000, 0.000)
Li (0.000, 0.000, 0.000)
Rb (0.500, 0.500, 0.500)



Which of these has the highest electronic total energy?
Rb3SrLi



Copy entry 4 word for word.
An optimized crystal structure of RbSr2Li. Source: Alexandria, functional PBE.

Electronic total energy, eV/atom: -1.36
Energy of formation from the pure elements, eV per atom: 0.204
Symmetry: P4/mmm, No. 123

Unit cell a=6.331 b=5.803 c=5.803 alpha=90.00 beta=90.00 gamma=90.00
Fractional positions:
Rb (0.500, 0.000, 0.000)
Li (0.500, 0.500, 0.500)
Sr (0.000, 0.500, 0.000)
Sr (0.000, 0.000, 0.500)